Entry 1:
Material: BRu2Au
Method: DFT, PBE
State: relaxed

Properties
DOS(E_F) (states/eV/f.u.): 2.05
Energy of formation from the pure elements (eV/atom): 0.883
Calculated total energy (eV per atom): -6.243
Crystal system: tetragonal

abc: 4.6975 4.6975 12.3472
angles: 90.00 90.00 90.00
Closest atoms and distances in Å follow each position.
Space group I-42d (No. 122)
Inequivalent atoms, fractional coordinates:
B 0.0000 0.0000 0.0000 [4 per cell]  4 Ru 2.03
Ru 0.1277 0.2500 0.1250 [8 per cell]  2 B 2.03
Au 0.0000 0.0000 0.5000 [4 per cell]  4 Ru 2.61

Entry 2:
Material: BRu3Au
Method: DFT, PBE
State: relaxed

Properties
DOS(E_F) (states/eV/f.u.): 5.83
Energy of formation from the pure elements (eV/atom): 0.303
Calculated total energy (eV per atom): -7.254
Crystal system: cubic

abc: 4.1081 4.1081 4.1081
angles: 90.00 90.00 90.00
Closest atoms and distances in Å follow each position.
Space group Pm-3m (No. 221)
Inequivalent atoms, fractional coordinates:
B 0.0000 0.0000 0.0000 [1 per cell]  6 Ru 2.05
Ru 0.0000 0.0000 0.5000 [3 per cell]  2 B 2.05
Au 0.5000 0.5000 0.5000 [1 per cell]  12 Ru 2.90

Entry 3:
Material: BRuAu2
Method: DFT, PBE
State: relaxed

Properties
DOS(E_F) (states/eV/f.u.): 4.01
Energy of formation from the pure elements (eV/atom): 1.181
Calculated total energy (eV per atom): -4.446
Crystal system: tetragonal

abc: 4.8596 4.8596 12.7947
angles: 90.00 90.00 90.00
Closest atoms and distances in Å follow each position.
Space group I-42d (No. 122)
Inequivalent atoms, fractional coordinates:
B 0.0000 0.0000 0.0000 [4 per cell]  4 Au 2.15
Ru 0.0000 0.0000 0.5000 [4 per cell]  4 Au 2.61
Au 0.1573 0.2500 0.1250 [8 per cell]  2 B 2.15

Entry 4:
Material: B2Ru2Au
Method: DFT, PBE
State: relaxed

Properties
DOS(E_F) (states/eV/f.u.): 2.85
Energy of formation from the pure elements (eV/atom): 0.347
Calculated total energy (eV per atom): -6.690
Crystal system: tetragonal

abc: 3.8225 3.8225 8.6309
angles: 90.00 90.00 90.00
Closest atoms and distances in Å follow each position.
Space group I4/mmm (No. 139)
Inequivalent atoms, fractional coordinates:
B 0.0000 0.5000 0.2500 [4 per cell]  4 Ru 2.10
Ru 0.0000 0.0000 0.1494 [4 per cell]  4 B 2.10
Au 0.0000 0.0000 0.5000 [2 per cell]  8 B 2.88, 10 Ru 2.99-3.03

Entry 5:
Material: BRu3Au
Method: DFT, PBE
State: relaxed

Properties
DOS(E_F) (states/eV/f.u.): 8.91
Energy of formation from the pure elements (eV/atom): 3.033
Calculated total energy (eV per atom): -4.523
Crystal system: cubic

abc: 4.8810 4.8810 4.8810
angles: 90.00 90.00 90.00
Closest atoms and distances in Å follow each position.
Space group Pm-3m (No. 221)
Inequivalent atoms, fractional coordinates:
B 0.0000 0.0000 0.0000 [1 per cell]  12 Ru 3.45
Ru 0.0000 0.5000 0.5000 [3 per cell]  2 Au 2.44
Au 0.5000 0.5000 0.5000 [1 per cell]  6 Ru 2.44

Entry 6:
Material: B3RuAu
Method: DFT, PBE
State: relaxed

Properties
DOS(E_F) (states/eV/f.u.): 5.81
Energy of formation from the pure elements (eV/atom): 2.094
Calculated total energy (eV per atom): -4.423
Crystal system: cubic

abc: 4.1017 4.1017 4.1017
angles: 90.00 90.00 90.00
Closest atoms and distances in Å follow each position.
Space group Pm-3m (No. 221)
Inequivalent atoms, fractional coordinates:
B 0.0000 0.0000 0.5000 [3 per cell]  2 Au 2.05
Ru 0.5000 0.5000 0.5000 [1 per cell]  12 B 2.90
Au 0.0000 0.0000 0.0000 [1 per cell]  6 B 2.05

Entry 7:
Material: Ta2BRuAu
Method: DFT, PBE
State: relaxed

Properties
DOS(E_F) (states/eV/f.u.): 3.49
Energy of formation from the pure elements (eV/atom): -0.076
Calculated total energy (eV per atom): -8.663
Crystal system: tetragonal

abc: 4.3508 4.3508 4.0766
angles: 90.00 90.00 90.00
Closest atoms and distances in Å follow each position.
Space group P4/mmm (No. 123)
Inequivalent atoms, fractional coordinates:
Ta 0.0000 0.5000 0.0000 [2 per cell]  2 B 2.18
B 0.0000 0.0000 0.0000 [1 per cell]  2 Ru 2.04, 4 Ta 2.18
Ru 0.0000 0.0000 0.5000 [1 per cell]  2 B 2.04
Au 0.5000 0.5000 0.5000 [1 per cell]  8 Ta 2.98, 4 Ru 3.08

Entry 8:
Material: TlBRuAu2
Method: DFT, PBE
State: relaxed

Properties
DOS(E_F) (states/eV/f.u.): 3.21
Energy of formation from the pure elements (eV/atom): 0.746
Calculated total energy (eV per atom): -4.229
Crystal system: tetragonal

abc: 5.2364 5.2364 3.9697
angles: 90.00 90.00 90.00
Closest atoms and distances in Å follow each position.
Space group P4/mmm (No. 123)
Inequivalent atoms, fractional coordinates:
Tl 0.0000 0.0000 0.0000 [1 per cell]  8 Au 3.29
B 0.5000 0.5000 0.0000 [1 per cell]  2 Ru 1.98
Ru 0.5000 0.5000 0.5000 [1 per cell]  2 B 1.98
Au 0.0000 0.5000 0.5000 [2 per cell]  2 Ru 2.62

no.,theoretical density (g/cm3)
1,9.993
2,12.238
3,11.119
4,11.080
5,7.297
6,7.953
7,14.434
8,10.834